(1)
Entry from the Alexandria database: a relaxed structure of PmYHoHg (PBE).

abc: 3.629 3.629 8.931
angles: 90.00 90.00 90.00
Atoms (fractional coordinates):
Pm (0.000, 0.000, 0.000)
Y (0.500, 0.500, 0.715)
Ho (0.500, 0.500, 0.280)
Hg (0.000, 0.000, 0.494)

Values from the calculation:
final energy = -17.1 eV for the cell shown
SG = P4mm
density = 8.46 Mg/m³
energy of formation = -0.24 eV per atom


(2)
Entry from the Alexandria database: a relaxed structure of MgScP2 (PBE).

abc: 4.615 4.615 4.615
angles: 60.00 60.00 60.00
Atoms (fractional coordinates):
Mg (0.000, 0.000, 0.000)
Sc (0.750, 0.750, 0.750)
P (0.250, 0.250, 0.250)
P (0.500, 0.500, 0.500)

Values from the calculation:
final energy = -18.7 eV for the cell shown
SG = F-43m
density = 3.13 Mg/m³
energy of formation = 0.00 eV per atom


(3)
Entry from the Alexandria database: a relaxed structure of ZrHgS2 (PBE).

abc: 3.659 6.331 9.886
angles: 100.83 96.90 90.00
Atoms (fractional coordinates):
Zr (0.000, 0.000, 0.000)
Zr (0.499, 0.500, 0.998)
Hg (0.263, 0.786, 0.497)
Hg (0.265, 0.287, 0.499)
S (0.049, 0.379, 0.152)
S (0.450, 0.120, 0.846)
S (0.550, 0.878, 0.154)
S (0.949, 0.622, 0.845)

Values from the calculation:
final energy = -43.2 eV for the cell shown
raw formation energy = -1130.0 meV per atom
SG = P1
density = 5.30 Mg/m³


(4)
Entry from the Alexandria database: a relaxed structure of KPa2AgTe5 (PBE).

abc: 10.250 10.250 10.250
angles: 131.56 131.56 70.92
Atoms (fractional coordinates):
K (0.250, 0.250, 0.000)
K (0.750, 0.750, 0.000)
Pa (0.151, 0.651, 0.801)
Pa (0.349, 0.151, 0.500)
Pa (0.651, 0.849, 0.500)
Pa (0.849, 0.349, 0.199)
Ag (0.250, 0.750, 0.500)
Ag (0.750, 0.250, 0.500)
Te (0.000, 0.000, 0.000)
Te (0.030, 0.229, 0.500)
Te (0.229, 0.729, 0.199)
Te (0.271, 0.470, 0.500)
Te (0.470, 0.970, 0.199)
Te (0.500, 0.500, 0.000)
Te (0.530, 0.030, 0.801)
Te (0.729, 0.530, 0.500)
Te (0.771, 0.271, 0.801)
Te (0.970, 0.771, 0.500)

Values from the calculation:
final energy = -91.0 eV for the cell shown
raw formation energy = -763.3 meV per atom
SG = I4/mcm
density = 7.01 Mg/m³


(5)
Entry from the Alexandria database: a relaxed structure of Pm2BeGePt6 (PBE).

abc: 7.260 7.260 7.260
angles: 46.93 46.93 46.93
Atoms (fractional coordinates):
Pm (0.214, 0.214, 0.214)
Pm (0.786, 0.786, 0.786)
Be (0.000, 0.000, 0.000)
Ge (0.500, 0.500, 0.500)
Pt (0.240, 0.240, 0.722)
Pt (0.240, 0.722, 0.240)
Pt (0.278, 0.760, 0.760)
Pt (0.722, 0.240, 0.240)
Pt (0.760, 0.278, 0.760)
Pt (0.760, 0.760, 0.278)

Values from the calculation:
final energy = -62.3 eV for the cell shown
SG = R-3m
density = 13.72 Mg/m³
energy of formation = -0.82 eV per atom


(6)
Entry from the Alexandria database: a relaxed structure of Cd2HgRuO6 (PBE).

abc: 5.927 5.927 5.927
angles: 58.06 58.06 58.06
Atoms (fractional coordinates):
Cd (0.000, 0.000, 0.000)
Cd (0.484, 0.484, 0.484)
Hg (0.255, 0.255, 0.255)
Ru (0.699, 0.699, 0.699)
O (0.034, 0.465, 0.783)
O (0.336, 0.864, 0.625)
O (0.465, 0.783, 0.034)
O (0.625, 0.336, 0.864)
O (0.783, 0.034, 0.465)
O (0.864, 0.625, 0.336)

Values from the calculation:
final energy = -48.4 eV for the cell shown
raw formation energy = -720.5 meV per atom
SG = R3
density = 7.35 Mg/m³


(7)
Entry from the Alexandria database: a relaxed structure of LaDy2In (PBE).

abc: 5.547 5.547 5.547
angles: 60.00 60.00 60.00
Atoms (fractional coordinates):
La (0.000, 0.000, 0.000)
Dy (0.500, 0.500, 0.500)
Dy (0.750, 0.750, 0.750)
In (0.250, 0.250, 0.250)

Values from the calculation:
final energy = -17.5 eV for the cell shown
SG = F-43m
density = 7.96 Mg/m³
energy of formation = -0.15 eV per atom


(8)
Entry from the Alexandria database: a relaxed structure of K3Ag2 (PBE).

abc: 8.736 8.736 8.736
angles: 58.80 58.80 58.80
Atoms (fractional coordinates):
K (0.117, 0.750, 0.383)
K (0.250, 0.617, 0.883)
K (0.383, 0.117, 0.750)
K (0.617, 0.883, 0.250)
K (0.750, 0.383, 0.117)
K (0.883, 0.250, 0.617)
Ag (0.185, 0.185, 0.185)
Ag (0.315, 0.315, 0.315)
Ag (0.685, 0.685, 0.685)
Ag (0.815, 0.815, 0.815)

Values from the calculation:
final energy = -17.2 eV for the cell shown
SG = R-3c
density = 2.41 Mg/m³
energy of formation = 0.07 eV per atom


(9)
Entry from the Alexandria database: a relaxed structure of Co2NiS4 (PBE).

abc: 6.342 6.342 6.342
angles: 137.97 137.97 60.95
Atoms (fractional coordinates):
Co (0.105, 0.105, 0.000)
Co (0.895, 0.895, 0.000)
Ni (0.500, 0.500, 0.000)
S (0.000, 0.500, 0.500)
S (0.291, 0.291, 0.000)
S (0.500, 0.000, 0.500)
S (0.709, 0.709, 0.000)

Values from the calculation:
final energy = -34.3 eV for the cell shown
raw formation energy = 315.9 meV per atom
SG = I4/mmm
density = 4.47 Mg/m³


(10)
Entry from the Alexandria database: a relaxed structure of LaAgOs2 (PBE).

abc: 10.259 10.259 10.259
angles: 16.32 16.32 16.32
Atoms (fractional coordinates):
La (0.000, 0.000, 0.000)
Ag (0.764, 0.764, 0.764)
Os (0.242, 0.242, 0.242)
Os (0.510, 0.510, 0.510)

Values from the calculation:
final energy = -27.8 eV for the cell shown
SG = R3m
density = 14.00 Mg/m³
energy of formation = 0.61 eV per atom


(11)
Entry from the Alexandria database: a relaxed structure of RbNa (PBE).

abc: 8.143 8.143 8.151
angles: 90.00 90.00 90.00
Atoms (fractional coordinates):
Rb (0.192, 0.192, 0.000)
Rb (0.308, 0.692, 0.500)
Rb (0.692, 0.308, 0.500)
Rb (0.808, 0.808, 0.000)
Na (0.168, 0.168, 0.500)
Na (0.332, 0.668, 0.000)
Na (0.668, 0.332, 0.000)
Na (0.832, 0.832, 0.500)

Values from the calculation:
final energy = -8.3 eV for the cell shown
SG = P4_2/mnm
density = 1.33 Mg/m³
energy of formation = 0.11 eV per atom


(12)
Entry from the Alexandria database: a relaxed structure of PmHo2TaN4 (PBE).

abc: 5.837 3.371 5.902
angles: 90.00 109.10 90.00
Atoms (fractional coordinates):
Pm (0.000, 0.000, 0.000)
Ho (0.500, 0.000, 0.500)
Ho (0.500, 0.500, 0.000)
Ta (0.000, 0.500, 0.500)
N (0.232, 0.000, 0.724)
N (0.241, 0.500, 0.277)
N (0.759, 0.500, 0.723)
N (0.768, 0.000, 0.276)

Values from the calculation:
final energy = -70.7 eV for the cell shown
raw formation energy = -1449.1 meV per atom
SG = P2/m
density = 10.77 Mg/m³


Look up the density of the third one. 5.30 Mg/m³


The lowest density belongs to which entry? RbNa


Which value of final energy does entry 7 give? -17.5 eV for the cell shown


What is the formula in the twelfth record? PmHo2TaN4